Entry 1:
The following is a DFT calculation (GGA-PBEsol) of YZr after structural relaxation.

abc: 5.2495 5.2495 5.1060
angles: 90.00 90.00 120.00
Positions (direct):
1 Y 0.3333 0.6667 0.2500
2 Y 0.6667 0.3333 0.7500
3 Zr 0.0000 0.0000 0.0000
4 Zr 0.0000 0.0000 0.5000

Results
Energy above the lowest structure with this stoichiometry ... 715 meV/atom
Density of states at the Fermi level ... 1.817 states/eV per atom
Crystal system ... hexagonal
Calculated total energy ... -7.1850 eV/atom
DFT formation energy ... 1.5 eV/f.u.
Calculated volume ... 121.9 Å³ per cell

=====

Entry 2:
The following is a DFT calculation (GGA-PBEsol) of YZr8 after structural relaxation.

abc: 7.1292 7.1292 7.1292
angles: 95.70 95.70 143.27
Positions (direct):
1 Y 0.0000 0.0000 0.0000
2 Zr 0.0000 0.3365 0.3365
3 Zr 0.0000 0.6635 0.6635
4 Zr 0.3291 0.3291 0.6583
5 Zr 0.3291 0.6709 0.0000
6 Zr 0.3365 0.0000 0.3365
7 Zr 0.6635 0.0000 0.6635
8 Zr 0.6709 0.3291 0.0000
9 Zr 0.6709 0.6709 0.3417

Results
Density of states at the Fermi level ... 1.458 states/eV per atom
Crystal system ... tetragonal
Calculated total energy ... -8.7600 eV/atom
DFT formation energy ... 0.7 eV/f.u.
Calculated volume ... 205.6 Å³ per cell

=====

Entry 3:
The following is a DFT calculation (GGA-PBEsol) of Y7Zr after structural relaxation.

abc: 6.8955 6.8955 6.8955
angles: 60.00 60.00 60.00
Positions (direct):
1 Y 0.0000 0.0000 0.0000
2 Y 0.0000 0.0000 0.5000
3 Y 0.0000 0.5000 0.0000
4 Y 0.0000 0.5000 0.5000
5 Y 0.5000 0.0000 0.0000
6 Y 0.5000 0.0000 0.5000
7 Y 0.5000 0.5000 0.0000
8 Zr 0.5000 0.5000 0.5000

Results
Density of states at the Fermi level ... 1.333 states/eV per atom
Crystal system ... cubic
Calculated total energy ... -7.0350 eV/atom
DFT formation energy ... 0.6 eV/f.u.
Calculated volume ... 231.8 Å³ per cell

=====

Entry 4:
The following is a DFT calculation (GGA-PBEsol) of Y5Zr after structural relaxation.

abc: 6.5390 6.5390 8.1711
angles: 102.59 102.59 30.95
Positions (direct):
1 Y 0.0000 0.0000 0.0000
2 Y 0.0538 0.0538 0.5899
3 Y 0.3374 0.3374 0.6482
4 Y 0.6766 0.6766 0.3204
5 Y 0.7319 0.7319 0.9424
6 Zr 0.3928 0.3928 0.2684

Results
Density of states at the Fermi level ... 1.764 states/eV per atom
Crystal system ... monoclinic
Calculated total energy ... -7.1432 eV/atom
DFT formation energy ... 0.3 eV/f.u.
Calculated volume ... 175.0 Å³ per cell

=====

Entry 5:
The following is a DFT calculation (GGA-PBEsol) of YZr after structural relaxation.

abc: 5.8318 5.2927 6.7161
angles: 90.00 90.00 90.00
Positions (direct):
1 Y 0.0906 0.2500 0.1259
2 Y 0.4094 0.7500 0.6259
3 Y 0.5906 0.2500 0.3741
4 Y 0.9094 0.7500 0.8741
5 Zr 0.0696 0.2500 0.6223
6 Zr 0.4304 0.7500 0.1223
7 Zr 0.5696 0.2500 0.8777
8 Zr 0.9304 0.7500 0.3777

Results
Energy above the lowest structure with this stoichiometry ... 43 meV/atom
Density of states at the Fermi level ... 1.640 states/eV per atom
Crystal system ... orthorhombic
Calculated total energy ... -7.8565 eV/atom
DFT formation energy ... 0.2 eV/f.u.
Calculated volume ... 207.3 Å³ per cell

=====

Entry 6:
The following is a DFT calculation (GGA-PBEsol) of YZr2 after structural relaxation.

abc: 6.2020 6.2020 7.7374
angles: 103.27 103.27 30.67
Positions (direct):
1 Y 0.0000 0.0000 0.0000
2 Y 0.6757 0.6757 0.3431
3 Zr 0.0580 0.0580 0.6188
4 Zr 0.3372 0.3372 0.6696
5 Zr 0.3971 0.3971 0.2948
6 Zr 0.7286 0.7286 0.9377

Results
Density of states at the Fermi level ... 1.370 states/eV per atom
Crystal system ... monoclinic
Calculated total energy ... -8.2436 eV/atom
DFT formation energy ... 0.3 eV/f.u.
Calculated volume ... 147.4 Å³ per cell

=====

Entry 7:
The following is a DFT calculation (GGA-PBEsol) of YZr2 after structural relaxation.

abc: 8.7885 8.7885 5.2222
angles: 90.00 90.00 158.52
Positions (direct):
1 Y 0.2167 0.7833 0.7500
2 Y 0.7833 0.2167 0.2500
3 Zr 0.1029 0.8971 0.2500
4 Zr 0.4488 0.5512 0.2500
5 Zr 0.5512 0.4488 0.7500
6 Zr 0.8971 0.1029 0.7500

Results
Density of states at the Fermi level ... 1.242 states/eV per atom
Crystal system ... orthorhombic
Calculated total energy ... -8.2656 eV/atom
DFT formation energy ... 0.2 eV/f.u.
Calculated volume ... 147.7 Å³ per cell

=====

Entry 8:
The following is a DFT calculation (GGA-PBEsol) of YZr after structural relaxation.

abc: 6.3758 6.3758 5.1221
angles: 90.00 90.00 149.63
Positions (direct):
1 Y 0.1741 0.8259 0.7500
2 Y 0.8259 0.1741 0.2500
3 Zr 0.4475 0.5525 0.7500
4 Zr 0.5525 0.4475 0.2500

Results
Energy above the lowest structure with this stoichiometry ... 0 meV/atom
Density of states at the Fermi level ... 1.231 states/eV per atom
Crystal system ... orthorhombic
Calculated total energy ... -7.8997 eV/atom
DFT formation energy ... 0.1 eV/f.u.
Calculated volume ... 105.3 Å³ per cell

=====

Entry 9:
The following is a DFT calculation (GGA-PBEsol) of YZr after structural relaxation.

abc: 3.3539 3.3539 5.3111
angles: 90.00 90.00 120.00
Positions (direct):
1 Y 0.0000 0.0000 0.0000
2 Zr 0.6667 0.3333 0.5000

Results
Energy above the lowest structure with this stoichiometry ... 65 meV/atom
Density of states at the Fermi level ... 1.655 states/eV per atom
Crystal system ... hexagonal
Calculated total energy ... -7.8346 eV/atom
DFT formation energy ... 0.2 eV/f.u.
Calculated volume ... 51.7 Å³ per cell

=====

Entry 10:
The following is a DFT calculation (GGA-PBEsol) of YZr after structural relaxation.

abc: 3.3263 5.2507 5.9394
angles: 90.00 90.00 90.00
Positions (direct):
1 Y 0.2500 0.2500 0.1003
2 Y 0.7500 0.7500 0.8997
3 Zr 0.2500 0.7500 0.4266
4 Zr 0.7500 0.2500 0.5734

Results
Energy above the lowest structure with this stoichiometry ... 40 meV/atom
Density of states at the Fermi level ... 1.602 states/eV per atom
Crystal system ... orthorhombic
Calculated total energy ... -7.8596 eV/atom
DFT formation energy ... 0.2 eV/f.u.
Calculated volume ... 103.7 Å³ per cell

=====

Entry 11:
The following is a DFT calculation (GGA-PBEsol) of Y5Zr after structural relaxation.

abc: 5.4875 9.3096 9.3096
angles: 21.57 90.00 90.00
Positions (direct):
1 Y 0.0000 0.0000 0.0000
2 Y 0.0000 0.3190 0.3190
3 Y 0.5000 0.2117 0.2117
4 Y 0.5000 0.5533 0.5533
5 Y 0.5000 0.8844 0.8844
6 Zr 0.0000 0.6603 0.6603

Results
Density of states at the Fermi level ... 1.726 states/eV per atom
Crystal system ... orthorhombic
Calculated total energy ... -7.1435 eV/atom
DFT formation energy ... 0.3 eV/f.u.
Calculated volume ... 174.8 Å³ per cell

=====

Entry 12:
The following is a DFT calculation (GGA-PBEsol) of Y4Zr after structural relaxation.

abc: 5.9354 5.9354 5.9354
angles: 99.42 99.42 132.28
Positions (direct):
1 Y 0.1030 0.7071 0.8101
2 Y 0.2929 0.1030 0.3959
3 Y 0.7071 0.8970 0.6041
4 Y 0.8970 0.2929 0.1899
5 Zr 0.5000 0.5000 0.0000

Results
Density of states at the Fermi level ... 1.211 states/eV per atom
Crystal system ... tetragonal
Calculated total energy ... -7.1930 eV/atom
DFT formation energy ... 0.4 eV/f.u.
Calculated volume ... 141.5 Å³ per cell

=====

Entry 13:
The following is a DFT calculation (GGA-PBEsol) of Zr3Zn5 after structural relaxation.

abc: 4.2504 6.2573 6.2573
angles: 125.18 90.00 90.00
Positions (direct):
1 Zr 0.0000 0.0000 0.0000
2 Zr 0.5000 0.5703 0.8471
3 Zr 0.5000 0.8471 0.5703
4 Zn 0.0000 0.1806 0.6440
5 Zn 0.0000 0.5052 0.5052
6 Zn 0.0000 0.6440 0.1806
7 Zn 0.5000 0.1139 0.3438
8 Zn 0.5000 0.3438 0.1139

Results
Energy above the lowest structure with this stoichiometry ... 34 meV/atom
Density of states at the Fermi level ... 0.584 states/eV per atom
Crystal system ... orthorhombic
Calculated total energy ... -4.6272 eV/atom
DFT formation energy ... -1.8 eV/f.u.
Calculated volume ... 136.0 Å³ per cell

=====

Entry 14:
The following is a DFT calculation (GGA-PBEsol) of Zr3Zn2 after structural relaxation.

abc: 7.4967 7.4967 6.6803
angles: 90.00 90.00 90.00
Positions (direct):
1 Zr 0.0000 0.5000 0.2500
2 Zr 0.0000 0.5000 0.7500
3 Zr 0.1500 0.1500 0.0000
4 Zr 0.2079 0.2079 0.5000
5 Zr 0.2921 0.7079 0.0000
6 Zr 0.3500 0.6500 0.5000
7 Zr 0.5000 0.0000 0.2500
8 Zr 0.5000 0.0000 0.7500
9 Zr 0.6500 0.3500 0.5000
10 Zr 0.7079 0.2921 0.0000
11 Zr 0.7921 0.7921 0.5000
12 Zr 0.8500 0.8500 0.0000
13 Zn 0.1195 0.8805 0.3066
14 Zn 0.1195 0.8805 0.6934
15 Zn 0.3805 0.3805 0.1934
16 Zn 0.3805 0.3805 0.8066
17 Zn 0.6195 0.6195 0.1934
18 Zn 0.6195 0.6195 0.8066
19 Zn 0.8805 0.1195 0.3066
20 Zn 0.8805 0.1195 0.6934

Results
Energy above the lowest structure with this stoichiometry ... 0 meV/atom
Density of states at the Fermi level ... 1.446 states/eV per atom
Crystal system ... tetragonal
Calculated total energy ... -6.2886 eV/atom
DFT formation energy ... -1.0 eV/f.u.
Calculated volume ... 375.4 Å³ per cell